# 1
The following is a GGA-PBE calculation of crystalline YMoAu4 at its relaxed geometry, from Alexandria via LeMat-Bulk.

The value obtained for the final energy is -5.036 eV/atom. Its crystal system is cubic.

The space group is F-43m (No. 216) and the conventional cell measures 7.845, 7.845 and 7.845 Å, with angles of 90.00, 90.00 and 90.00 degrees. The distinct sites, in fractional coordinates, are Y at (0.000, 0.000, 0.000), Mo at (0.250, 0.250, 0.250) and Au at (0.125, 0.125, 0.625).

=====

# 2
The following is a GGA-PBE calculation of crystalline La3Nd2Sm6In at its relaxed geometry, from Alexandria via LeMat-Bulk.

The value obtained for the final energy is -4.666 eV/atom. Its crystal system is monoclinic.

The space group is C2/m (No. 12) and the conventional cell measures 6.249, 10.843 and 12.018 Å, with angles of 90.00, 100.11 and 90.00 degrees. The distinct sites, in fractional coordinates, are La at (0.000, 0.000, 0.000), La at (0.000, 0.330, 0.000), Nd at (0.000, 0.166, 0.500), Sm at (0.243, 0.338, 0.744), Sm at (0.243, 0.500, 0.254) and In at (0.000, 0.500, 0.500).

=====

# 3
The following is a GGA-PBE calculation of crystalline Pm6Sb2Ir at its relaxed geometry, from Alexandria via LeMat-Bulk.

The value obtained for the final energy is -5.816 eV/atom. Its crystal system is hexagonal.

The space group is P-62m (No. 189) and the conventional cell measures 8.5285, 8.5285 and 4.1616 Å, with angles of 90.00, 90.00 and 120.00 degrees. The distinct sites, in fractional coordinates, are Pm at (0.0000, 0.4051, 0.0000), Pm at (0.0000, 0.7582, 0.5000), Sb at (0.3333, 0.6667, 0.5000) and Ir at (0.0000, 0.0000, 0.0000).

=====

# 4
The following is a GGA-PBE calculation of crystalline Al8Co at its relaxed geometry, from Alexandria via LeMat-Bulk.

The value obtained for the final energy is -4.201 eV/atom. Its crystal system is tetragonal.

The space group is I4/mmm (No. 139) and the conventional cell measures 8.319, 8.319 and 3.965 Å, with angles of 90.00, 90.00 and 90.00 degrees. The distinct sites, in fractional coordinates, are Al at (0.000, 0.323, 0.000), Al at (0.159, 0.159, 0.500) and Co at (0.000, 0.000, 0.000).

=====

# 5
The following is a GGA-PBE calculation of crystalline InCu2Pb2 at its relaxed geometry, from Alexandria via LeMat-Bulk.

The value obtained for the final energy is -3.517 eV/atom. Its crystal system is tetragonal.

The space group is P4/mbm (No. 127) and the conventional cell measures 7.183, 7.183 and 4.299 Å, with angles of 90.00, 90.00 and 90.00 degrees. The distinct sites, in fractional coordinates, are In at (0.000, 0.000, 0.000), Cu at (0.124, 0.376, 0.000) and Pb at (0.171, 0.671, 0.500).

=====

# 6
The following is a GGA-PBE calculation of crystalline SrBr at its relaxed geometry, from Alexandria via LeMat-Bulk.

The value obtained for the final energy is -2.916 eV/atom. Its crystal system is tetragonal.

The space group is P4_2/mnm (No. 136) and the conventional cell measures 8.867, 8.867 and 4.860 Å, with angles of 90.00, 90.00 and 90.00 degrees. The distinct sites, in fractional coordinates, are Sr at (0.205, 0.205, 0.000) and Br at (0.142, 0.858, 0.000).

=====

# 7
The following is a GGA-PBE calculation of crystalline Nd2SnH3 at its relaxed geometry, from Alexandria via LeMat-Bulk.

The value obtained for the final energy is -4.543 eV/atom. Its crystal system is monoclinic.

The space group is C2/m (No. 12) and the conventional cell measures 14.975, 3.914 and 7.838 Å, with angles of 90.00, 113.20 and 90.00 degrees. The distinct sites, in fractional coordinates, are Nd at (0.033, 0.000, 0.289), Nd at (0.205, 0.500, 0.689), Sn at (0.118, 0.500, 0.030), H at (0.072, 0.500, 0.431), H at (0.100, 0.000, 0.629) and H at (0.197, 0.000, 0.487).

=====

# 8
The following is a GGA-PBE calculation of crystalline La2TlF at its relaxed geometry, from Alexandria via LeMat-Bulk.

The value obtained for the final energy is -4.701 eV/atom. Its crystal system is tetragonal.

The space group is I-42d (No. 122) and the conventional cell measures 6.220, 6.220 and 13.633 Å, with angles of 90.00, 90.00 and 90.00 degrees. The distinct sites, in fractional coordinates, are La at (0.161, 0.250, 0.125), Tl at (0.000, 0.000, 0.500) and F at (0.000, 0.000, 0.000).

=====

# 9
The following is a GGA-PBE calculation of crystalline CaZr2Cu at its relaxed geometry, from Alexandria via LeMat-Bulk.

The value obtained for the final energy is -5.512 eV/atom. Its crystal system is monoclinic.

The space group is P2/m (No. 10) and the conventional cell measures 3.232, 5.428 and 5.200 Å, with angles of 90.00, 96.08 and 90.00 degrees. The distinct sites, in fractional coordinates, are Ca at (0.000, 0.000, 0.000), Zr at (0.305, 0.500, 0.731) and Cu at (0.500, 0.000, 0.500).

=====

# 10
The following is a GGA-PBE calculation of crystalline Ti4GaP at its relaxed geometry, from Alexandria via LeMat-Bulk.

The value obtained for the final energy is -7.335 eV/atom. Its crystal system is tetragonal.

The space group is P4/mcc (No. 124) and the conventional cell measures 6.114, 6.114 and 5.001 Å, with angles of 90.00, 90.00 and 90.00 degrees. The distinct sites, in fractional coordinates, are Ti at (0.144, 0.338, 0.000), Ga at (0.500, 0.500, 0.250) and P at (0.000, 0.000, 0.250).

=====

# 11
The following is a GGA-PBE calculation of crystalline AsRhSe2 at its relaxed geometry, from Alexandria via LeMat-Bulk.

The value obtained for the final energy is -4.955 eV/atom. Its crystal system is monoclinic.

The space group is Cm (No. 8) and the conventional cell measures 8.702, 3.674 and 6.812 Å, with angles of 90.00, 112.23 and 90.00 degrees. The distinct sites, in fractional coordinates, are As at (0.000, 0.000, 0.000), Rh at (0.292, 0.000, 0.999), Se at (0.225, 0.500, 0.717) and Se at (0.391, 0.500, 0.281).

=====

# 12
The following is a GGA-PBE calculation of crystalline ThAl2ZnCu2 at its relaxed geometry, from Alexandria via LeMat-Bulk.

The value obtained for the final energy is -4.098 eV/atom. Its crystal system is tetragonal.

The space group is P4/mmm (No. 123) and the conventional cell measures 4.447, 4.447 and 5.681 Å, with angles of 90.00, 90.00 and 90.00 degrees. The distinct sites, in fractional coordinates, are Th at (0.000, 0.000, 0.000), Al at (0.500, 0.500, 0.237), Zn at (0.000, 0.000, 0.500) and Cu at (0.000, 0.500, 0.500).

=====

# 13
The following is a GGA-PBE calculation of crystalline VCr2Mo at its relaxed geometry, from Alexandria via LeMat-Bulk.

The value obtained for the final energy is -9.850 eV/atom. Its crystal system is tetragonal.

The space group is P4/mmm (No. 123) and the conventional cell measures 4.200, 4.200 and 2.974 Å, with angles of 90.00, 90.00 and 90.00 degrees. The distinct sites, in fractional coordinates, are V at (0.000, 0.000, 0.000), Cr at (0.000, 0.500, 0.500) and Mo at (0.500, 0.500, 0.000).

=====

# 14
The following is a GGA-PBE calculation of crystalline LiCuSn2 at its relaxed geometry, from Alexandria via LeMat-Bulk.

The value obtained for the final energy is -3.441 eV/atom. Its crystal system is trigonal.

The space group is R-3m (No. 166, hexagonal axes) and the conventional cell measures 4.3182, 4.3182 and 22.2603 Å, with angles of 90.00, 90.00 and 120.00 degrees. The distinct sites, in fractional coordinates, are Li at (0.0000, 0.0000, 0.0000), Cu at (0.0000, 0.0000, 0.5000) and Sn at (0.0000, 0.0000, 0.1235).

=====

# 15
The following is a GGA-PBE calculation of crystalline ScMnBr4 at its relaxed geometry, from Alexandria via LeMat-Bulk.

The value obtained for the final energy is -3.140 eV/atom. Its crystal system is cubic.

The space group is F-43m (No. 216) and the conventional cell measures 8.860, 8.860 and 8.860 Å, with angles of 90.00, 90.00 and 90.00 degrees. The distinct sites, in fractional coordinates, are Sc at (0.000, 0.000, 0.000), Mn at (0.250, 0.250, 0.250) and Br at (0.125, 0.125, 0.625).

=====

# 16
The following is a GGA-PBE calculation of crystalline CdNi2H2 at its relaxed geometry, from Alexandria via LeMat-Bulk.

The value obtained for the final energy is -3.866 eV/atom. Its crystal system is orthorhombic.

The space group is Fddd (No. 70, origin choice 2) and the conventional cell measures 5.059, 8.170 and 8.987 Å, with angles of 90.00, 90.00 and 90.00 degrees. The distinct sites, in fractional coordinates, are Cd at (0.125, 0.125, 0.125), Ni at (0.125, 0.283, 0.625) and H at (0.125, 0.125, 0.488).

=====

# 17
The following is a GGA-PBE calculation of crystalline TbY3Ho6Th2 at its relaxed geometry, from Alexandria via LeMat-Bulk.

The value obtained for the final energy is -5.501 eV/atom. Its crystal system is monoclinic.

The space group is C2/m (No. 12) and the conventional cell measures 6.159, 10.658 and 11.750 Å, with angles of 90.00, 100.06 and 90.00 degrees. The distinct sites, in fractional coordinates, are Tb at (0.000, 0.000, 0.000), Y at (0.000, 0.166, 0.500), Y at (0.000, 0.500, 0.500), Ho at (0.246, 0.500, 0.247), Ho at (0.249, 0.332, 0.753) and Th at (0.000, 0.333, 0.000).

=====

# 18
The following is a GGA-PBE calculation of crystalline Er2CdPd3 at its relaxed geometry, from Alexandria via LeMat-Bulk.

The value obtained for the final energy is -4.950 eV/atom. Its crystal system is orthorhombic.

The space group is Cmcm (No. 63) and the conventional cell measures 12.532, 7.569 and 5.640 Å, with angles of 90.00, 90.00 and 90.00 degrees. The distinct sites, in fractional coordinates, are Er at (0.165, 0.173, 0.250), Cd at (0.000, 0.321, 0.750), Pd at (0.000, 0.000, 0.000) and Pd at (0.166, 0.500, 0.000).

=====

# 19
The following is a GGA-PBE calculation of crystalline Ac3ZnIn2Au6 at its relaxed geometry, from Alexandria via LeMat-Bulk.

The value obtained for the final energy is -3.780 eV/atom. Its crystal system is trigonal.

The space group is P-3m1 (No. 164) and the conventional cell measures 6.4215, 6.4215 and 8.8105 Å, with angles of 90.00, 90.00 and 120.00 degrees. The distinct sites, in fractional coordinates, are Ac at (0.0000, 0.0000, 0.0000), Ac at (0.3333, 0.6667, 0.6302), Zn at (0.0000, 0.0000, 0.5000), In at (0.3333, 0.6667, 0.0289) and Au at (0.1770, 0.3541, 0.2954).

=====

# 20
The following is a GGA-PBE calculation of crystalline PmSmY2As4 at its relaxed geometry, from Alexandria via LeMat-Bulk.

The value obtained for the final energy is -6.665 eV/atom. Its crystal system is monoclinic.

The space group is P2/m (No. 10) and the conventional cell measures 7.228, 4.178 and 7.233 Å, with angles of 90.00, 109.48 and 90.00 degrees. The distinct sites, in fractional coordinates, are Pm at (0.000, 0.000, 0.000), Sm at (0.000, 0.500, 0.500), Y at (0.500, 0.000, 0.500), Y at (0.500, 0.500, 0.000), As at (0.256, 0.000, 0.751) and As at (0.256, 0.500, 0.253).

=====

no.,size of the total moment (μB per formula unit)
1,3.87
2,0.00
3,0.00
4,0.00
5,0.00
6,0.53
7,0.00
8,0.00
9,0.00
10,0.00
11,0.00
12,0.00
13,0.00
14,0.00
15,5.96
16,0.00
17,0.00
18,0.00
19,0.00
20,0.00